1.
# KMo2Se, relaxed, DFT GGA-PBEsol
# density of states at the Fermi level	0.772	states/eV/atom
data_KMo2Se
_symmetry_space_group_name_H-M 'P 1'
_symmetry_Int_Tables_number 1
_cell_length_a 2.972
_cell_length_b 2.972
_cell_length_c 10.101
_cell_angle_alpha 81.54
_cell_angle_beta 81.54
_cell_angle_gamma 60.00
loop_
_symmetry_equiv_pos_as_xyz
'x,y,z'
loop_
_atom_site_label
_atom_site_fract_x
_atom_site_fract_y
_atom_site_fract_z
_atom_site_occupancy
Se1 0.500 0.500 0.500 1
K1 0.000 0.000 0.000 1
Mo1 0.769 0.769 0.693 1
Mo2 0.231 0.231 0.307 1



2.
# KMo2Se, relaxed, DFT GGA-PBEsol
# density of states at the Fermi level	1.072	states/eV/atom
data_KMo2Se
_symmetry_space_group_name_H-M 'P 1'
_symmetry_Int_Tables_number 1
_cell_length_a 3.173
_cell_length_b 3.173
_cell_length_c 8.627
_cell_angle_alpha 90.00
_cell_angle_beta 90.00
_cell_angle_gamma 90.00
loop_
_symmetry_equiv_pos_as_xyz
'x,y,z'
loop_
_atom_site_label
_atom_site_fract_x
_atom_site_fract_y
_atom_site_fract_z
_atom_site_occupancy
Mo1 0.000 0.000 0.852 1
Mo2 0.000 0.000 0.148 1
Se1 0.500 0.500 0.000 1
K1 0.500 0.500 0.500 1



Least stable = 2



1.
# KMo2Se, relaxed, DFT GGA-PBEsol
# density of states at the Fermi level	1.198	states/eV/atom
data_KMo2Se
_symmetry_space_group_name_H-M 'P 1'
_symmetry_Int_Tables_number 1
_cell_length_a 3.878
_cell_length_b 3.878
_cell_length_c 4.946
_cell_angle_alpha 90.00
_cell_angle_beta 90.00
_cell_angle_gamma 90.00
loop_
_symmetry_equiv_pos_as_xyz
'x,y,z'
loop_
_atom_site_label
_atom_site_fract_x
_atom_site_fract_y
_atom_site_fract_z
_atom_site_occupancy
Mo1 0.000 0.500 0.000 1
Mo2 0.500 0.000 0.000 1
K1 0.000 0.000 0.500 1
Se1 0.500 0.500 0.500 1



2.
# KMo2Se, relaxed, DFT GGA-PBEsol
# density of states at the Fermi level	0.608	states/eV/atom
data_KMo2Se
_symmetry_space_group_name_H-M 'P 1'
_symmetry_Int_Tables_number 1
_cell_length_a 4.612
_cell_length_b 4.612
_cell_length_c 4.612
_cell_angle_alpha 60.00
_cell_angle_beta 60.00
_cell_angle_gamma 60.00
loop_
_symmetry_equiv_pos_as_xyz
'x,y,z'
loop_
_atom_site_label
_atom_site_fract_x
_atom_site_fract_y
_atom_site_fract_z
_atom_site_occupancy
Mo1 0.000 0.000 0.000 1
Mo2 0.750 0.750 0.750 1
Se1 0.250 0.250 0.250 1
K1 0.500 0.500 0.500 1



Least stable = 1



1.
# K2SrMo, relaxed, DFT GGA-PBEsol
# density of states at the Fermi level	0.959	states/eV/atom
data_K2SrMo
_symmetry_space_group_name_H-M 'P 1'
_symmetry_Int_Tables_number 1
_cell_length_a 3.818
_cell_length_b 3.818
_cell_length_c 12.141
_cell_angle_alpha 90.00
_cell_angle_beta 90.00
_cell_angle_gamma 90.00
loop_
_symmetry_equiv_pos_as_xyz
'x,y,z'
loop_
_atom_site_label
_atom_site_fract_x
_atom_site_fract_y
_atom_site_fract_z
_atom_site_occupancy
K1 0.000 0.000 0.202 1
K2 0.000 0.000 0.798 1
Mo1 0.500 0.500 0.000 1
Sr1 0.500 0.500 0.500 1



2.
# K2SrMo, relaxed, DFT GGA-PBEsol
# density of states at the Fermi level	0.861	states/eV/atom
data_K2SrMo
_symmetry_space_group_name_H-M 'P 1'
_symmetry_Int_Tables_number 1
_cell_length_a 6.133
_cell_length_b 6.133
_cell_length_c 6.133
_cell_angle_alpha 60.00
_cell_angle_beta 60.00
_cell_angle_gamma 60.00
loop_
_symmetry_equiv_pos_as_xyz
'x,y,z'
loop_
_atom_site_label
_atom_site_fract_x
_atom_site_fract_y
_atom_site_fract_z
_atom_site_occupancy
K1 0.750 0.750 0.750 1
K2 0.500 0.500 0.500 1
Mo1 0.250 0.250 0.250 1
Sr1 0.000 0.000 0.000 1



Least stable = 1



1.
# KTaMo2, relaxed, DFT GGA-PBEsol
# density of states at the Fermi level	1.220	states/eV/atom
data_KTaMo2
_symmetry_space_group_name_H-M 'P 1'
_symmetry_Int_Tables_number 1
_cell_length_a 2.906
_cell_length_b 5.453
_cell_length_c 5.927
_cell_angle_alpha 117.39
_cell_angle_beta 104.19
_cell_angle_gamma 90.00
loop_
_symmetry_equiv_pos_as_xyz
'x,y,z'
loop_
_atom_site_label
_atom_site_fract_x
_atom_site_fract_y
_atom_site_fract_z
_atom_site_occupancy
Mo1 0.957 0.957 0.914 1
Mo2 0.260 0.760 0.519 1
Ta1 0.541 0.541 0.081 1
K1 0.743 0.243 0.486 1



2.
# KTaMo2, relaxed, DFT GGA-PBEsol
# density of states at the Fermi level	1.010	states/eV/atom
data_KTaMo2
_symmetry_space_group_name_H-M 'P 1'
_symmetry_Int_Tables_number 1
_cell_length_a 2.655
_cell_length_b 5.216
_cell_length_c 5.286
_cell_angle_alpha 90.00
_cell_angle_beta 90.00
_cell_angle_gamma 90.00
loop_
_symmetry_equiv_pos_as_xyz
'x,y,z'
loop_
_atom_site_label
_atom_site_fract_x
_atom_site_fract_y
_atom_site_fract_z
_atom_site_occupancy
Mo1 0.000 0.000 0.000 1
Mo2 0.500 0.000 0.500 1
Ta1 0.500 0.500 0.000 1
K1 0.000 0.500 0.500 1



3.
# KTaMo2, relaxed, DFT GGA-PBEsol
# density of states at the Fermi level	1.029	states/eV/atom
data_KTaMo2
_symmetry_space_group_name_H-M 'P 1'
_symmetry_Int_Tables_number 1
_cell_length_a 2.621
_cell_length_b 5.689
_cell_length_c 5.689
_cell_angle_alpha 118.73
_cell_angle_beta 95.98
_cell_angle_gamma 95.98
loop_
_symmetry_equiv_pos_as_xyz
'x,y,z'
loop_
_atom_site_label
_atom_site_fract_x
_atom_site_fract_y
_atom_site_fract_z
_atom_site_occupancy
K1 0.500 0.000 0.000 1
Mo1 0.000 0.000 0.500 1
Mo2 0.000 0.500 0.000 1
Ta1 0.500 0.500 0.500 1



Least stable = 2



1.
# KTaMo2, relaxed, DFT GGA-PBEsol
# density of states at the Fermi level	0.976	states/eV/atom
data_KTaMo2
_symmetry_space_group_name_H-M 'P 1'
_symmetry_Int_Tables_number 1
_cell_length_a 3.286
_cell_length_b 3.443
_cell_length_c 8.413
_cell_angle_alpha 90.00
_cell_angle_beta 90.00
_cell_angle_gamma 90.00
loop_
_symmetry_equiv_pos_as_xyz
'x,y,z'
loop_
_atom_site_label
_atom_site_fract_x
_atom_site_fract_y
_atom_site_fract_z
_atom_site_occupancy
Mo1 0.000 0.000 0.103 1
Mo2 0.500 0.500 0.241 1
K1 0.500 0.500 0.763 1
Ta1 0.000 0.000 0.393 1



2.
# KTaMo2, relaxed, DFT GGA-PBEsol
# density of states at the Fermi level	1.170	states/eV/atom
data_KTaMo2
_symmetry_space_group_name_H-M 'P 1'
_symmetry_Int_Tables_number 1
_cell_length_a 2.796
_cell_length_b 2.796
_cell_length_c 10.510
_cell_angle_alpha 90.00
_cell_angle_beta 90.00
_cell_angle_gamma 111.03
loop_
_symmetry_equiv_pos_as_xyz
'x,y,z'
loop_
_atom_site_label
_atom_site_fract_x
_atom_site_fract_y
_atom_site_fract_z
_atom_site_occupancy
Mo1 0.000 0.000 0.292 1
Mo2 0.000 0.000 0.708 1
K1 0.500 0.500 0.000 1
Ta1 0.500 0.500 0.500 1



3.
# KTaMo2, relaxed, DFT GGA-PBEsol
# density of states at the Fermi level	1.332	states/eV/atom
data_KTaMo2
_symmetry_space_group_name_H-M 'P 1'
_symmetry_Int_Tables_number 1
_cell_length_a 4.658
_cell_length_b 4.658
_cell_length_c 4.658
_cell_angle_alpha 60.00
_cell_angle_beta 60.00
_cell_angle_gamma 60.00
loop_
_symmetry_equiv_pos_as_xyz
'x,y,z'
loop_
_atom_site_label
_atom_site_fract_x
_atom_site_fract_y
_atom_site_fract_z
_atom_site_occupancy
Mo1 0.750 0.750 0.750 1
Mo2 0.000 0.000 0.000 1
K1 0.500 0.500 0.500 1
Ta1 0.250 0.250 0.250 1



Least stable = 3



1.
# KY2Mo, relaxed, DFT GGA-PBEsol
# density of states at the Fermi level	1.142	states/eV/atom
data_KY2Mo
_symmetry_space_group_name_H-M 'P 1'
_symmetry_Int_Tables_number 1
_cell_length_a 3.114
_cell_length_b 3.114
_cell_length_c 11.591
_cell_angle_alpha 90.00
_cell_angle_beta 90.00
_cell_angle_gamma 90.00
loop_
_symmetry_equiv_pos_as_xyz
'x,y,z'
loop_
_atom_site_label
_atom_site_fract_x
_atom_site_fract_y
_atom_site_fract_z
_atom_site_occupancy
Mo1 0.500 0.500 0.783 1
Y1 0.000 0.000 0.963 1
Y2 0.500 0.500 0.220 1
K1 0.000 0.000 0.533 1



2.
# KY2Mo, relaxed, DFT GGA-PBEsol
# density of states at the Fermi level	0.970	states/eV/atom
data_KY2Mo
_symmetry_space_group_name_H-M 'P 1'
_symmetry_Int_Tables_number 1
_cell_length_a 3.168
_cell_length_b 3.168
_cell_length_c 11.681
_cell_angle_alpha 90.00
_cell_angle_beta 90.00
_cell_angle_gamma 109.31
loop_
_symmetry_equiv_pos_as_xyz
'x,y,z'
loop_
_atom_site_label
_atom_site_fract_x
_atom_site_fract_y
_atom_site_fract_z
_atom_site_occupancy
Mo1 0.500 0.500 0.217 1
Y1 0.500 0.500 0.778 1
Y2 0.000 0.000 0.038 1
K1 0.000 0.000 0.467 1



Least stable = 1